! BaLiHgBi2 | the Alexandria database | PBE | optimized geometry; values from VASP
&SYSTEM
  ibrav = 0, nat = 5, ntyp = 4
/
ATOMIC_SPECIES
Li 6.94 Li.upf
Bi 208.98 Bi.upf
Hg 200.59 Hg.upf
Ba 137.33 Ba.upf
CELL_PARAMETERS angstrom
-1.054 4.504 -1.316
-3.265 0.264 3.521
7.015 0.015 3.219
ATOMIC_POSITIONS crystal
Li 0.250 0.750 0.500
Bi 0.382 0.382 0.764
Bi 0.618 0.618 0.236
Hg 0.750 0.250 0.500
Ba 0.000 0.000 0.000
! Space-group type: I-4m2
! ΔH_f (0 K): -0.523 eV per atom

***

! Nd4HoEr3 | the Alexandria database | PBE | optimized geometry; values from VASP
&SYSTEM
  ibrav = 0, nat = 16, ntyp = 3
/
ATOMIC_SPECIES
Nd 144.24 Nd.upf
Er 167.26 Er.upf
Ho 164.93 Ho.upf
CELL_PARAMETERS angstrom
-4.498 0.622 -4.358
-3.399 -5.909 2.665
-6.037 6.715 7.189
ATOMIC_POSITIONS crystal
Nd 0.983 0.128 0.749
Nd 0.983 0.128 0.251
Nd 0.644 0.128 0.500
Nd 0.147 0.871 0.500
Nd 0.483 0.872 0.249
Nd 0.483 0.872 0.751
Nd 0.647 0.129 0.000
Nd 0.144 0.872 0.000
Er 0.481 0.380 0.250
Er 0.648 0.620 0.000
Er 0.481 0.380 0.750
Er 0.148 0.380 0.500
Er 0.981 0.620 0.250
Er 0.981 0.620 0.750
Ho 0.648 0.621 0.500
Ho 0.148 0.379 0.000
! Space-group type: Pmn2_1
! ΔH_f (0 K): 0.028 eV per atom

***

! Tm7Al2Pb2 | the Alexandria database | PBE | optimized geometry; values from VASP
&SYSTEM
  ibrav = 0, nat = 11, ntyp = 3
/
ATOMIC_SPECIES
Tm 168.93 Tm.upf
Al 26.98 Al.upf
Pb 207.20 Pb.upf
CELL_PARAMETERS angstrom
6.549 -0.003 -1.103
0.004 7.968 0.003
-1.509 -0.002 6.467
ATOMIC_POSITIONS crystal
Tm 0.500 0.284 0.000
Tm 0.000 0.000 0.000
Tm 0.000 0.716 0.500
Tm 0.500 0.212 0.500
Tm 0.500 0.788 0.500
Tm 0.500 0.716 0.000
Tm 0.000 0.284 0.500
Al 0.723 0.000 0.277
Al 0.277 0.000 0.723
Pb 0.208 0.500 0.208
Pb 0.792 0.500 0.792
! Space-group type: Cmmm
! ΔH_f (0 K): -0.035 eV per atom

***

! LiNd4Sn2 | the Alexandria database | PBE | optimized geometry; values from VASP
&SYSTEM
  ibrav = 0, nat = 7, ntyp = 3
/
ATOMIC_SPECIES
Nd 144.24 Nd.upf
Sn 118.71 Sn.upf
Li 6.94 Li.upf
CELL_PARAMETERS angstrom
5.370 0.000 0.000
2.685 4.650 0.000
2.685 1.550 9.000
ATOMIC_POSITIONS crystal
Nd 0.373 0.373 0.880
Nd 0.627 0.627 0.120
Nd 0.214 0.214 0.357
Nd 0.786 0.786 0.643
Sn 0.095 0.095 0.716
Sn 0.905 0.905 0.284
Li 0.000 0.000 0.000
! Space-group type: R-3m
! ΔH_f (0 K): -0.330 eV per atom

***

! La3PmRh2 | the Alexandria database | PBE | optimized geometry; values from VASP
&SYSTEM
  ibrav = 0, nat = 12, ntyp = 3
/
ATOMIC_SPECIES
La 138.91 La.upf
Rh 102.91 Rh.upf
Pm 145.00 Pm.upf
CELL_PARAMETERS angstrom
7.001 0.000 0.000
0.000 7.398 0.000
-3.501 -3.699 7.007
ATOMIC_POSITIONS crystal
La 0.769 0.519 0.538
La 0.500 0.750 0.000
La 0.769 0.019 0.538
La 0.231 0.481 0.462
La 0.500 0.250 0.000
La 0.231 0.981 0.462
Rh 0.572 0.362 0.725
Rh 0.428 0.638 0.275
Rh 0.847 0.138 0.275
Rh 0.153 0.862 0.725
Pm 0.000 0.000 0.000
Pm 0.000 0.500 0.000
! Space-group type: Ibam
! ΔH_f (0 K): -0.491 eV per atom

***

! Li2HgP | the Alexandria database | PBE | optimized geometry; values from VASP
&SYSTEM
  ibrav = 0, nat = 4, ntyp = 3
/
ATOMIC_SPECIES
P 30.97 P.upf
Hg 200.59 Hg.upf
Li 6.94 Li.upf
CELL_PARAMETERS angstrom
4.627 0.000 0.000
2.314 4.007 0.000
2.314 1.336 3.778
ATOMIC_POSITIONS crystal
P 0.250 0.250 0.250
Hg 0.500 0.500 0.500
Li 0.750 0.750 0.750
Li 0.000 0.000 0.000
! Space-group type: F-43m
! ΔH_f (0 K): -0.193 eV per atom

***

! LaNd4Y | the Alexandria database | PBE | optimized geometry; values from VASP
&SYSTEM
  ibrav = 0, nat = 6, ntyp = 3
/
ATOMIC_SPECIES
Y 88.91 Y.upf
Nd 144.24 Nd.upf
La 138.91 La.upf
CELL_PARAMETERS angstrom
6.748 0.000 0.000
3.374 5.844 0.000
3.374 1.948 5.510
ATOMIC_POSITIONS crystal
Y 0.000 0.000 0.000
Nd 0.626 0.122 0.626
Nd 0.626 0.626 0.122
Nd 0.122 0.626 0.626
Nd 0.626 0.626 0.626
La 0.250 0.250 0.250
! Space-group type: F-43m
! ΔH_f (0 K): 0.229 eV per atom

***

! MgZr3Rh4 | the Alexandria database | PBE | optimized geometry; values from VASP
&SYSTEM
  ibrav = 0, nat = 8, ntyp = 3
/
ATOMIC_SPECIES
Rh 102.91 Rh.upf
Zr 91.22 Zr.upf
Mg 24.30 Mg.upf
CELL_PARAMETERS angstrom
-3.789 1.846 1.908
-3.182 -2.740 1.941
1.259 0.222 7.894
ATOMIC_POSITIONS crystal
Rh 0.129 0.129 0.614
Rh 0.871 0.871 0.386
Rh 0.379 0.379 0.864
Rh 0.621 0.621 0.136
Zr 0.255 0.255 0.235
Zr 0.500 0.500 0.500
Zr 0.745 0.745 0.765
Mg 0.000 0.000 0.000
! Space-group type: R-3m
! ΔH_f (0 K): -0.775 eV per atom

***

! TlBiRh3 | the Alexandria database | PBE | optimized geometry; values from VASP
&SYSTEM
  ibrav = 0, nat = 5, ntyp = 3
/
ATOMIC_SPECIES
Tl 204.38 Tl.upf
Rh 102.91 Rh.upf
Bi 208.98 Bi.upf
CELL_PARAMETERS angstrom
-3.130 -1.108 -3.731
3.891 -0.821 -3.021
0.057 -4.800 1.378
ATOMIC_POSITIONS crystal
Tl 0.500 0.500 0.500
Rh 0.000 0.500 0.000
Rh 0.500 0.000 0.000
Rh 0.000 0.000 0.500
Bi 0.000 0.000 0.000
! Space-group type: Pm-3m
! ΔH_f (0 K): 1.049 eV per atom

***

! Pr4DyHo3Se8 | the Alexandria database | PBE | optimized geometry; values from VASP
&SYSTEM
  ibrav = 0, nat = 16, ntyp = 4
/
ATOMIC_SPECIES
Pr 140.91 Pr.upf
Se 78.96 Se.upf
Ho 164.93 Ho.upf
Dy 162.50 Dy.upf
CELL_PARAMETERS angstrom
8.207 0.000 0.000
0.000 8.456 0.168
-4.104 -4.100 5.808
ATOMIC_POSITIONS crystal
Pr 0.500 0.000 0.500
Pr 0.000 0.000 0.000
Pr 0.500 0.000 0.000
Pr 0.000 0.000 0.500
Se 0.244 0.730 0.488
Se 0.743 0.730 0.486
Se 0.257 0.270 0.014
Se 0.743 0.730 0.986
Se 0.257 0.270 0.514
Se 0.756 0.270 0.512
Se 0.756 0.270 0.014
Se 0.244 0.730 0.986
Ho 0.000 0.500 0.500
Ho 0.500 0.500 0.000
Ho 0.500 0.500 0.500
Dy 0.000 0.500 0.000
! Space-group type: R-3m
! Total energy: -5.8752 eV/atom

***

! YScZn2 | the Alexandria database | PBE | optimized geometry; values from VASP
&SYSTEM
  ibrav = 0, nat = 4, ntyp = 3
/
ATOMIC_SPECIES
Zn 65.41 Zn.upf
Y 88.91 Y.upf
Sc 44.96 Sc.upf
CELL_PARAMETERS angstrom
-3.409 1.320 -0.032
-0.587 -1.595 -3.237
-2.102 -5.353 3.019
ATOMIC_POSITIONS crystal
Zn 0.500 0.500 0.255
Zn 0.000 0.000 0.017
Y 0.500 0.500 0.773
Sc 0.000 0.000 0.455
! Space-group type: P4mm
! ΔH_f (0 K): -0.140 eV per atom

***

! NaWN2 | the Alexandria database | PBE | optimized geometry; values from VASP
&SYSTEM
  ibrav = 0, nat = 4, ntyp = 3
/
ATOMIC_SPECIES
W 183.84 W.upf
N 14.01 N.upf
Na 22.99 Na.upf
CELL_PARAMETERS angstrom
0.000 2.691 2.691
2.691 0.000 2.691
2.691 2.691 0.000
ATOMIC_POSITIONS crystal
W 0.500 0.500 0.500
N 0.250 0.250 0.250
N 0.750 0.750 0.750
Na 0.000 0.000 0.000
! Space-group type: Fm-3m
! Total energy: -6.9520 eV/atom

***

! NaAl2Au2 | the Alexandria database | PBE | optimized geometry; values from VASP
&SYSTEM
  ibrav = 0, nat = 10, ntyp = 3
/
ATOMIC_SPECIES
Al 26.98 Al.upf
Au 196.97 Au.upf
Na 22.99 Na.upf
CELL_PARAMETERS angstrom
8.011 0.000 0.000
0.000 8.011 0.000
0.000 0.000 2.828
ATOMIC_POSITIONS crystal
Al 0.873 0.627 0.000
Al 0.127 0.373 0.000
Al 0.373 0.873 0.000
Al 0.627 0.127 0.000
Au 0.829 0.329 0.500
Au 0.671 0.829 0.500
Au 0.329 0.171 0.500
Au 0.171 0.671 0.500
Na 0.000 0.000 0.000
Na 0.500 0.500 0.000
! Space-group type: P4/mbm
! ΔH_f (0 K): -0.357 eV per atom

***

! Na3Ho4Te8 | the Alexandria database | PBE | optimized geometry; values from VASP
&SYSTEM
  ibrav = 0, nat = 15, ntyp = 3
/
ATOMIC_SPECIES
Ho 164.93 Ho.upf
Te 127.60 Te.upf
Na 22.99 Na.upf
CELL_PARAMETERS angstrom
-5.561 6.523 -1.440
1.922 -5.517 -6.579
-2.520 -6.733 5.074
ATOMIC_POSITIONS crystal
Ho 0.000 0.000 0.500
Ho 0.000 0.500 0.000
Ho 0.000 0.000 0.000
Ho 0.500 0.000 0.000
Te 0.008 0.751 0.751
Te 0.000 0.246 0.754
Te 0.516 0.764 0.764
Te 0.500 0.755 0.245
Te 0.500 0.245 0.755
Te 0.000 0.754 0.246
Te 0.992 0.249 0.249
Te 0.484 0.236 0.236
Na 0.500 0.500 0.000
Na 0.500 0.500 0.500
Na 0.500 0.000 0.500
! Space-group type: C2/m
! Total energy: -4.3359 eV/atom

***

! NaTaSCl2 | the Alexandria database | PBE | optimized geometry; values from VASP
&SYSTEM
  ibrav = 0, nat = 5, ntyp = 4
/
ATOMIC_SPECIES
Cl 35.45 Cl.upf
Ta 180.95 Ta.upf
Na 22.99 Na.upf
S 32.06 S.upf
CELL_PARAMETERS angstrom
4.936 0.000 0.000
0.000 4.936 0.000
0.000 0.000 4.804
ATOMIC_POSITIONS crystal
Cl 0.000 0.500 0.000
Cl 0.500 0.000 0.000
Ta 0.000 0.000 0.000
Na 0.500 0.500 0.500
S 0.000 0.000 0.500
! Space-group type: P4/mmm
! Total energy: -5.0728 eV/atom

***

! Nd4GaHg | the Alexandria database | PBE | optimized geometry; values from VASP
&SYSTEM
  ibrav = 0, nat = 12, ntyp = 3
/
ATOMIC_SPECIES
Nd 144.24 Nd.upf
Ga 69.72 Ga.upf
Hg 200.59 Hg.upf
CELL_PARAMETERS angstrom
-6.787 1.279 -3.402
-3.450 -1.462 6.334
0.473 6.949 1.861
ATOMIC_POSITIONS crystal
Nd 0.349 0.852 0.154
Nd 0.651 0.148 0.846
Nd 0.329 0.339 0.354
Nd 0.171 0.839 0.646
Nd 0.151 0.352 0.846
Nd 0.829 0.161 0.354
Nd 0.849 0.648 0.154
Nd 0.671 0.661 0.646
Ga 0.000 0.500 0.500
Ga 0.500 0.000 0.500
Hg 0.000 0.000 0.000
Hg 0.500 0.500 0.000
! Space-group type: P2_1/c
! ΔH_f (0 K): -0.139 eV per atom

***

! La2CrHg | the Alexandria database | PBE | optimized geometry; values from VASP
&SYSTEM
  ibrav = 0, nat = 4, ntyp = 3
/
ATOMIC_SPECIES
Cr 52.00 Cr.upf
La 138.91 La.upf
Hg 200.59 Hg.upf
CELL_PARAMETERS angstrom
5.312 0.000 0.000
0.000 3.782 -0.515
0.000 0.744 5.501
ATOMIC_POSITIONS crystal
Cr 0.000 0.625 0.435
La 0.500 0.125 0.344
La 0.000 0.125 0.904
Hg 0.500 0.625 0.817
! Space-group type: Pmm2
! ΔH_f (0 K): -0.007 eV per atom

***

! Np5As4S | the Alexandria database | PBE | optimized geometry; values from VASP
&SYSTEM
  ibrav = 0, nat = 10, ntyp = 3
/
ATOMIC_SPECIES
As 74.92 As.upf
Np 237.00 Np.upf
S 32.06 S.upf
CELL_PARAMETERS angstrom
4.029 0.000 -0.568
-0.080 4.028 -0.568
0.016 0.016 14.693
ATOMIC_POSITIONS crystal
As 0.198 0.198 0.397
As 0.600 0.600 0.199
As 0.400 0.400 0.801
As 0.802 0.802 0.603
Np 0.701 0.701 0.401
Np 0.097 0.097 0.194
Np 0.299 0.299 0.599
Np 0.500 0.500 0.000
Np 0.903 0.903 0.806
S 0.000 0.000 0.000
! Space-group type: I4/mmm
! Total energy: -9.5363 eV/atom

***

! Nd2Sm6Tl | the Alexandria database | PBE | optimized geometry; values from VASP
&SYSTEM
  ibrav = 0, nat = 18, ntyp = 3
/
ATOMIC_SPECIES
Sm 150.36 Sm.upf
Nd 144.24 Nd.upf
Tl 204.38 Tl.upf
CELL_PARAMETERS angstrom
-4.717 -1.549 -0.368
2.788 -6.524 -8.278
2.095 -8.048 7.049
ATOMIC_POSITIONS crystal
Sm 0.000 0.000 0.836
Sm 0.000 0.664 0.500
Sm 0.500 0.164 0.000
Sm 0.500 0.161 0.661
Sm 0.000 0.661 0.839
Sm 0.000 0.339 0.161
Sm 0.000 0.336 0.500
Sm 0.000 0.000 0.164
Sm 0.500 0.839 0.339
Sm 0.500 0.500 0.336
Sm 0.500 0.836 0.000
Sm 0.500 0.500 0.664
Nd 0.000 0.661 0.161
Nd 0.500 0.161 0.339
Nd 0.500 0.839 0.661
Nd 0.000 0.339 0.839
Tl 0.500 0.500 0.000
Tl 0.000 0.000 0.500
! Space-group type: P4_2/mnm
! ΔH_f (0 K): -0.037 eV per atom

***

! Zr2Ti2Ag | the Alexandria database | PBE | optimized geometry; values from VASP
&SYSTEM
  ibrav = 0, nat = 10, ntyp = 3
/
ATOMIC_SPECIES
Zr 91.22 Zr.upf
Ag 107.87 Ag.upf
Ti 47.87 Ti.upf
CELL_PARAMETERS angstrom
7.443 0.000 0.000
0.000 7.443 0.000
0.000 0.000 3.726
ATOMIC_POSITIONS crystal
Zr 0.858 0.642 0.000
Zr 0.642 0.142 0.000
Zr 0.142 0.358 0.000
Zr 0.358 0.858 0.000
Ag 0.500 0.500 0.000
Ag 0.000 0.000 0.000
Ti 0.350 0.150 0.500
Ti 0.650 0.850 0.500
Ti 0.150 0.650 0.500
Ti 0.850 0.350 0.500
! Space-group type: P4/mbm
! ΔH_f (0 K): 0.328 eV per atom

***

! Li2Pm2TmSi2 | the Alexandria database | PBE | optimized geometry; values from VASP
&SYSTEM
  ibrav = 0, nat = 7, ntyp = 4
/
ATOMIC_SPECIES
Tm 168.93 Tm.upf
Li 6.94 Li.upf
Si 28.09 Si.upf
Pm 145.00 Pm.upf
CELL_PARAMETERS angstrom
-1.146 0.468 -4.205
-4.232 -0.084 -1.141
-2.295 9.479 -0.604
ATOMIC_POSITIONS crystal
Tm 0.000 0.000 0.000
Li 0.613 0.613 0.161
Li 0.387 0.387 0.839
Si 0.272 0.272 0.183
Si 0.728 0.728 0.817
Pm 0.122 0.122 0.633
Pm 0.878 0.878 0.367
! Space-group type: R-3m
! Total energy: -4.4826 eV/atom

***

! KLiCl | the Alexandria database | PBE | optimized geometry; values from VASP
&SYSTEM
  ibrav = 0, nat = 6, ntyp = 3
/
ATOMIC_SPECIES
K 39.10 K.upf
Li 6.94 Li.upf
Cl 35.45 Cl.upf
CELL_PARAMETERS angstrom
4.203 -0.035 0.766
2.069 3.658 0.766
3.689 2.131 15.146
ATOMIC_POSITIONS crystal
K 0.902 0.902 0.293
K 0.852 0.852 0.015
Li 0.287 0.287 0.575
Li 0.466 0.466 0.732
Cl 0.114 0.114 0.752
Cl 0.640 0.640 0.556
! Space-group type: C2/m
! Total energy: -2.7617 eV/atom

***

! ZrTc2Ir | the Alexandria database | PBE | optimized geometry; values from VASP
&SYSTEM
  ibrav = 0, nat = 4, ntyp = 3
/
ATOMIC_SPECIES
Zr 91.22 Zr.upf
Tc 98.00 Tc.upf
Ir 192.22 Ir.upf
CELL_PARAMETERS angstrom
-2.452 0.848 -0.994
0.844 -0.584 -2.582
-3.028 -7.835 0.782
ATOMIC_POSITIONS crystal
Zr 0.500 0.500 0.250
Tc 0.000 0.000 0.974
Tc 0.000 0.000 0.526
Ir 0.500 0.500 0.750
! Space-group type: P4/mmm
! ΔH_f (0 K): 0.008 eV per atom

***

! LiGdTlPb | the Alexandria database | PBE | optimized geometry; values from VASP
&SYSTEM
  ibrav = 0, nat = 4, ntyp = 4
/
ATOMIC_SPECIES
Pb 207.20 Pb.upf
Tl 204.38 Tl.upf
Li 6.94 Li.upf
Gd 157.25 Gd.upf
CELL_PARAMETERS angstrom
5.280 0.000 0.000
2.640 4.573 0.000
2.640 1.524 4.311
ATOMIC_POSITIONS crystal
Pb 0.250 0.250 0.250
Tl 0.750 0.750 0.750
Li 0.000 0.000 0.000
Gd 0.500 0.500 0.500
! Space-group type: F-43m
! ΔH_f (0 K): -0.340 eV per atom

***

| no. | ρ (Mg/m³) | spin magnetization (μB/f.u.) | Fermi-level density of states (states/eV/atom) |
| --- | --- | --- | --- |
| 1 | 7.9 | 0.0 | 0.521 |
| 2 | 7.8 | 0.0 | 1.847 |
| 3 | 8.5 | 0.0 | 0.808 |
| 4 | 6.1 | 0.0 | 0.792 |
| 5 | 7.0 | 0.0 | 0.880 |
| 6 | 5.8 | 0.0 | 0.489 |
| 7 | 6.1 | 0.0 | 1.760 |
| 8 | 8.4 | 0.0 | 0.840 |
| 9 | 9.6 | 0.0 | 2.525 |
| 10 | 7.5 | 0.0 | 0.516 |
| 11 | 5.1 | 0.7 | 0.890 |
| 12 | 10.0 | 1.1 | 0.263 |
| 13 | 8.6 | 0.0 | 0.171 |
| 14 | 6.0 | 0.0 | 0.498 |
| 15 | 4.4 | 0.4 | 0.381 |
| 16 | 6.9 | 0.0 | 1.467 |
| 17 | 7.8 | 3.8 | 0.800 |
| 18 | 10.6 | 4.3 | 4.356 |
| 19 | 7.8 | 0.0 | 1.526 |
| 20 | 6.2 | 0.0 | 1.231 |
| 21 | 5.6 | 0.0 | 0.626 |
| 22 | 1.2 | 0.0 | 0.299 |
| 23 | 12.2 | 0.0 | 1.430 |
| 24 | 9.2 | 7.0 | 0.699 |